CdTeOs2 after structural relaxation, computed with PBE-GGA.

Unit cell a=7.497 b=7.497 c=5.998 alpha=51.32 beta=51.32 gamma=90.00
Fractional coordinates of all 8 atoms:
1 Te 0.750 0.250 0.500
2 Cd 0.250 0.750 0.500
3 Te 0.000 0.000 0.000
4 Cd 0.500 0.500 0.000
5 Os 0.375 0.331 0.750
6 Os 0.669 0.125 0.250
7 Os 0.875 0.919 0.750
8 Os 0.081 0.625 0.250

Values from the calculation:
- E (eV/atom) = -5.42
- formation energy without anion corrections (eV/atom) = 1.210
- spin magnetization (μB/atom) = 0.000
- density (g cm⁻³) = 13.06
- energy above the lowest structure with this stoichiometry (eV/f.u.) = 3.091

***

CdTe2Os after structural relaxation, computed with PBE-GGA.

Unit cell a=6.590 b=6.590 c=7.348 alpha=63.36 beta=63.36 gamma=90.00
Fractional coordinates of all 8 atoms:
1 Cd 0.250 0.750 0.500
2 Te 0.875 0.922 0.750
3 Te 0.672 0.125 0.250
4 Te 0.078 0.625 0.250
5 Os 0.750 0.250 0.500
6 Cd 0.500 0.500 0.000
7 Os 0.000 0.000 0.000
8 Te 0.375 0.328 0.750

Values from the calculation:
- E (eV/atom) = -4.26
- formation energy without anion corrections (eV/atom) = 0.346
- spin magnetization (μB/atom) = 0.000
- density (g cm⁻³) = 7.51

***

Cd2Te2Os after structural relaxation, computed with PBE-GGA.

Unit cell a=7.480 b=7.480 c=4.163 alpha=90.00 beta=90.00 gamma=90.00
Fractional coordinates of all 10 atoms:
1 Te 0.817 0.317 0.500
2 Cd 0.135 0.365 0.000
3 Cd 0.365 0.865 0.000
4 Os 0.000 0.000 0.000
5 Cd 0.635 0.135 0.000
6 Te 0.683 0.817 0.500
7 Os 0.500 0.500 0.000
8 Te 0.317 0.183 0.500
9 Cd 0.865 0.635 0.000
10 Te 0.183 0.683 0.500

Values from the calculation:
- E (eV/atom) = -3.02
- formation energy without anion corrections (eV/atom) = 0.851
- spin magnetization (μB/atom) = 0.060
- density (g cm⁻³) = 9.56
- energy above the lowest structure with this stoichiometry (eV/f.u.) = 0.000

***

CdTe2Os after structural relaxation, computed with PBE-GGA.

Unit cell a=3.148 b=3.148 c=11.022 alpha=90.00 beta=90.00 gamma=117.85
Fractional coordinates of all 4 atoms:
1 Te 0.000 0.000 0.553
2 Te 0.000 0.000 0.947
3 Cd 0.500 0.500 0.250
4 Os 0.500 0.500 0.750

Values from the calculation:
- E (eV/atom) = -4.04
- formation energy without anion corrections (eV/atom) = 0.564
- spin magnetization (μB/atom) = 0.000
- density (g cm⁻³) = 9.59

***

CdTeOs2 after structural relaxation, computed with PBE-GGA.

Unit cell a=2.934 b=2.934 c=10.739 alpha=90.00 beta=90.00 gamma=120.69
Fractional coordinates of all 4 atoms:
1 Te 0.000 0.000 0.454
2 Os 0.000 0.000 0.029
3 Cd 0.500 0.500 0.792
4 Os 0.500 0.500 0.225

Values from the calculation:
- E (eV/atom) = -5.81
- formation energy without anion corrections (eV/atom) = 0.819
- spin magnetization (μB/atom) = 0.000
- density (g cm⁻³) = 12.96
- energy above the lowest structure with this stoichiometry (eV/f.u.) = 1.527

***

CdTeOs2 after structural relaxation, computed with PBE-GGA.

Unit cell a=5.650 b=5.650 c=5.401 alpha=59.17 beta=59.17 gamma=30.96
Fractional coordinates of all 4 atoms:
1 Cd 0.277 0.277 0.268
2 Te 0.467 0.467 0.525
3 Os 0.030 0.030 0.851
4 Os 0.726 0.726 0.856

Values from the calculation:
- E (eV/atom) = -5.95
- formation energy without anion corrections (eV/atom) = 0.683
- spin magnetization (μB/atom) = 0.000
- density (g cm⁻³) = 13.71
- energy above the lowest structure with this stoichiometry (eV/f.u.) = 0.985

***

CdTeOs2 after structural relaxation, computed with PBE-GGA.

Unit cell a=4.269 b=3.083 c=5.639 alpha=76.32 beta=90.00 gamma=90.00
Fractional coordinates of all 4 atoms:
1 Te 0.500 0.250 0.250
2 Cd 0.500 0.750 0.750
3 Os 0.000 0.377 0.491
4 Os 0.000 0.123 0.009

Values from the calculation:
- E (eV/atom) = -5.67
- formation energy without anion corrections (eV/atom) = 0.959
- spin magnetization (μB/atom) = 0.000
- density (g cm⁻³) = 14.29
- energy above the lowest structure with this stoichiometry (eV/f.u.) = 2.086

***

CdTeOs2 after structural relaxation, computed with PBE-GGA.

Unit cell a=3.215 b=3.215 c=6.718 alpha=90.00 beta=90.00 gamma=90.00
Fractional coordinates of all 4 atoms:
1 Te 0.500 0.500 0.250
2 Cd 0.500 0.500 0.750
3 Os 0.000 0.000 0.019
4 Os 0.000 0.000 0.481

Values from the calculation:
- E (eV/atom) = -5.82
- formation energy without anion corrections (eV/atom) = 0.813
- spin magnetization (μB/atom) = 0.000
- density (g cm⁻³) = 14.84
- energy above the lowest structure with this stoichiometry (eV/f.u.) = 1.502